Entry 1:
Below is an optimized crystal structure of MoOs, with properties calculated at the PBE level.

theoretical density = 15.8 g/cm³
DFT formation energy = 0.1090 eV/atom
D(E_F) = 3.5 states/eV/cell

Lattice parameters (Å, degrees): 2.759 4.510 4.846 90.00 90.00 90.00
Fractional coordinates of all 4 atoms:
Mo  0.250  0.250  0.091
Mo  0.750  0.750  0.909
Os  0.250  0.750  0.416
Os  0.750  0.250  0.584



Entry 2:
Below is an optimized crystal structure of HfZrGe, with properties calculated at the PBE level.

theoretical density = 8.7 g/cm³
DFT formation energy = -0.2204 eV/atom
D(E_F) = 14.1 states/eV/cell

Lattice parameters (Å, degrees): 9.032 9.032 8.056 104.19 104.19 38.01
Fractional coordinates of all 18 atoms:
Hf  0.000  0.500  0.500
Hf  0.089  0.752  0.595
Hf  0.248  0.911  0.905
Hf  0.500  0.000  0.000
Hf  0.752  0.089  0.095
Hf  0.911  0.248  0.405
Zr  0.152  0.531  0.907
Zr  0.244  0.756  0.250
Zr  0.469  0.848  0.593
Zr  0.531  0.152  0.407
Zr  0.756  0.244  0.750
Zr  0.848  0.469  0.093
Ge  0.037  0.306  0.768
Ge  0.306  0.037  0.268
Ge  0.500  0.500  0.000
Ge  0.500  0.500  0.500
Ge  0.694  0.963  0.732
Ge  0.963  0.694  0.232



Entry 3:
Below is an optimized crystal structure of MnSiGe2, with properties calculated at the PBE level.

theoretical density = 6.1 g/cm³
D(E_F) = 4.1 states/eV/cell
formation energy (no corrections) = -0.08 eV per atom

Lattice parameters (Å, degrees): 4.673 3.991 6.718 90.00 90.75 90.00
Fractional coordinates of all 8 atoms:
Mn  0.152  0.250  0.102
Mn  0.848  0.750  0.898
Si  0.355  0.750  0.965
Si  0.645  0.250  0.035
Ge  0.027  0.250  0.733
Ge  0.355  0.250  0.432
Ge  0.645  0.750  0.568
Ge  0.973  0.750  0.267



Entry 4:
Below is an optimized crystal structure of MgAg2Se2O6, with properties calculated at the PBE level.

theoretical density = 5.4 g/cm³
D(E_F) = 0.0 states/eV/cell
formation energy (no corrections) = -0.92 eV per atom

Lattice parameters (Å, degrees): 5.168 5.168 6.777 110.24 110.24 66.41
Fractional coordinates of all 11 atoms:
Mg  0.000  0.000  0.000
Ag  0.179  0.179  0.604
Ag  0.821  0.821  0.396
Se  0.418  0.418  0.249
Se  0.582  0.582  0.751
O  0.212  0.687  0.751
O  0.247  0.247  0.006
O  0.313  0.788  0.249
O  0.687  0.212  0.751
O  0.753  0.753  0.994
O  0.788  0.313  0.249